12
Lattice="4.596 0.000 0.000 0.000 5.081 -0.766 0.000 -0.223 16.284" Properties=species:S:1:pos:R:3 comment="Ba3Tl7Pd2 | the Alexandria database | PBE | optimized geometry" m_tot_mub_per_cell=0.00 formation_enthalpy_0k_ev_per_atom=-0.31 mass_density_g_cm3=8.99 energy_ev_per_cell=-36.43 pbc="T T T"
Ba 2.298 2.540 -0.383
Ba 2.298 3.354 5.260
Ba 2.298 1.503 10.258
Tl 0.000 1.911 13.121
Tl 0.000 3.825 8.404
Tl 0.000 0.000 0.000
Tl 0.000 2.947 2.397
Tl 2.298 0.395 2.712
Tl 2.298 4.463 12.806
Tl 0.000 1.033 7.114
Pd 0.000 4.213 11.140
Pd 0.000 0.645 4.378

---

8
Lattice="-3.985 -8.846 -0.364 8.381 -3.640 -3.281 3.227 -6.842 1.469" Properties=species:S:1:pos:R:3 comment="Ba2LaAl | the Alexandria database | PBE | optimized geometry" m_tot_mub_per_cell=0.00 formation_enthalpy_0k_ev_per_atom=0.26 mass_density_g_cm3=4.43 energy_ev_per_cell=-22.94 pbc="T T T"
Al 2.198 -6.243 -1.823
Al 6.903 -8.363 -1.817
Ba -0.494 -7.380 -0.257
Ba 5.405 -5.406 -1.742
Ba 4.367 -9.943 -0.382
Ba 5.969 -15.928 -1.971
La 0.000 0.000 0.000
La 0.720 -10.966 -0.359

---

52
Lattice="10.253 0.000 0.000 -3.418 9.666 0.000 -3.418 -4.833 8.371" Properties=species:S:1:pos:R:3 comment="V2Ga8Cu3 | the Alexandria database | PBE | optimized geometry" m_tot_mub_per_cell=0.00 formation_enthalpy_0k_ev_per_atom=-0.20 mass_density_g_cm3=6.81 energy_ev_per_cell=-229.59 pbc="T T T"
V 0.086 0.121 0.210
V 8.286 4.833 0.000
V -3.332 2.174 4.186
V 1.795 2.538 4.396
V -5.041 7.007 4.186
V 3.503 -2.295 3.975
V 3.160 4.833 0.000
V 1.795 -4.712 8.161
Ga 4.296 2.523 0.044
Ga 5.731 4.833 0.000
Ga 2.469 0.064 4.157
Ga 2.541 7.339 0.073
Ga 9.304 -1.216 2.162
Ga -4.248 -2.311 8.327
Ga -0.830 5.950 2.023
Ga -4.189 4.598 4.186
Ga 4.296 6.027 1.979
Ga 0.879 1.117 6.348
Ga 6.072 -2.358 4.230
Ga 4.355 -1.091 1.889
Ga -4.248 1.194 6.392
Ga 5.887 1.152 2.052
Ga 0.605 4.833 0.000
Ga 0.946 -2.407 4.258
Ga 2.646 -3.507 6.075
Ga 0.946 4.766 8.343
Ga 4.250 2.506 8.299
Ga 2.541 3.517 2.134
Ga -0.763 2.426 4.113
Ga 4.364 2.475 4.141
Ga 2.646 3.743 6.482
Ga -0.876 -1.190 6.165
Ga -2.585 3.643 2.207
Ga 4.250 -1.316 6.237
Ga 0.938 1.326 2.297
Ga -2.480 -0.235 4.186
Ga 4.178 5.985 6.320
Ga -0.763 9.599 0.028
Ga 0.760 4.897 4.214
Ga -2.657 3.617 6.209
Cu 3.393 4.851 4.155
Cu 5.102 0.018 4.216
Cu 6.860 2.399 0.030
Cu 3.442 1.191 6.248
Cu -3.393 6.077 2.093
Cu -0.025 3.590 6.278
Cu -0.025 -3.607 6.309
Cu -1.684 -2.434 8.341
Cu -1.734 8.423 2.093
Cu -1.684 1.243 6.278
Cu 8.519 1.226 2.062
Cu 1.734 6.024 2.123

---

4
Lattice="-3.993 1.544 4.024 3.074 -4.922 -0.916 5.474 -0.200 -2.125" Properties=species:S:1:pos:R:3 comment="LiGePt2 | the Alexandria database | PBE | optimized geometry" m_tot_mub_per_cell=0.00 formation_enthalpy_0k_ev_per_atom=-0.15 mass_density_g_cm3=11.60 energy_ev_per_cell=-19.22 pbc="T T T"
Li 0.000 0.000 0.000
Ge 4.274 -2.561 -1.521
Pt 2.233 -1.338 -0.795
Pt 6.315 -3.784 -2.247

---

4
Lattice="-3.408 2.560 1.140 -2.479 1.502 3.326 2.192 3.783 0.900" Properties=species:S:1:pos:R:3 comment="Co2NiMo | the Alexandria database | PBE | optimized geometry" m_tot_mub_per_cell=2.38 formation_enthalpy_0k_ev_per_atom=0.09 mass_density_g_cm3=9.39 energy_ev_per_cell=-30.45 pbc="T T T"
Co -5.833 4.095 4.459
Co -1.902 3.888 2.689
Mo -2.771 5.883 4.024
Ni -0.924 1.961 1.341

---

4
Lattice="-4.665 0.026 -1.287 -1.219 -0.110 -4.681 -2.013 -3.977 -1.883" Properties=species:S:1:pos:R:3 comment="LiScAlSn | the Alexandria database | PBE | optimized geometry" m_tot_mub_per_cell=0.00 formation_enthalpy_0k_ev_per_atom=-0.29 mass_density_g_cm3=4.10 energy_ev_per_cell=-17.17 pbc="T T T"
Sc -1.974 -1.015 -1.963
Li -5.923 -3.046 -5.888
Sn -3.948 -2.030 -3.926
Al 0.000 0.000 0.000

---

8
Lattice="4.484 0.000 0.000 0.000 7.743 0.133 0.000 -2.730 8.062" Properties=species:S:1:pos:R:3 comment="Ac4NiAuBr2 | the Alexandria database | PBE | optimized geometry" m_tot_mub_per_cell=0.00 mass_density_g_cm3=7.81 energy_ev_per_cell=-36.29 pbc="T T T"
Ac 2.242 1.408 1.644
Ac 2.242 3.605 6.551
Ac 0.000 -0.041 6.503
Ac 0.000 5.054 1.693
Ni 2.242 3.872 0.067
Au 0.000 0.000 0.000
Br 2.242 -1.365 4.031
Br 0.000 2.506 4.098

---

5
Lattice="4.854 0.000 0.000 0.000 4.854 0.000 0.000 0.000 4.854" Properties=species:S:1:pos:R:3 comment="OsSe3F | the Alexandria database | PBE | optimized geometry" m_tot_mub_per_cell=0.00 mass_density_g_cm3=6.48 energy_ev_per_cell=-21.49 pbc="T T T"
Os 0.000 0.000 0.000
Se 0.000 2.427 0.000
Se 0.000 0.000 2.427
Se 2.427 0.000 0.000
F 2.427 2.427 2.427

---

What is the formula in the sixth record? LiScAlSn